NaInS (PBE, optimized geometry); space-group type = P3m1 (156); mass density = 3.61 Mg/m³; size of the total moment = 0.00 μB per formula unit; energy above the lowest structure with this stoichiometry = 0.00 eV per formula unit; uncorrected energy = -3.40 eV per atom
1.0
-5.054 -1.744 -2.486
-0.155 -3.047 2.452
-1.663 3.400 0.996
Na In S
1 1 1
Direct
0.276 0.333 0.667
0.733 0.667 0.333
0.991 0.000 0.000

=====

NaIn4S5 (PBE, optimized geometry); space-group type = Pmmn (59); mass density = 3.98 Mg/m³; size of the total moment = 0.00 μB per formula unit; uncorrected energy = -3.77 eV per atom
1.0
6.396 0.000 0.000
0.000 7.513 0.000
0.000 0.000 11.152
In S Na
8 10 2
Direct
0.499 0.801 0.000
0.499 0.199 0.000
0.947 0.500 0.806
0.053 0.000 0.694
0.947 0.500 0.194
0.501 0.301 0.500
0.501 0.699 0.500
0.053 0.000 0.306
0.218 0.753 0.170
0.218 0.247 0.830
0.717 0.500 0.000
0.218 0.247 0.170
0.782 0.747 0.330
0.283 0.000 0.500
0.782 0.253 0.330
0.782 0.747 0.670
0.218 0.753 0.830
0.782 0.253 0.670
0.990 0.500 0.500
0.010 0.000 0.000

=====

Na3InS3 (PBE, optimized geometry); space-group type = C2/c (15); mass density = 2.58 Mg/m³; size of the total moment = 0.00 μB per formula unit; energy above the lowest structure with this stoichiometry = 0.00 eV per formula unit; uncorrected energy = -3.71 eV per atom
1.0
-1.465 10.372 -1.051
-4.813 0.228 -9.360
-7.194 1.728 0.788
Na S In
12 12 4
Direct
0.636 0.770 0.912
0.173 0.009 0.957
0.770 0.636 0.412
0.230 0.364 0.588
0.722 0.278 0.750
0.278 0.722 0.250
0.009 0.173 0.457
0.438 0.562 0.750
0.827 0.991 0.043
0.991 0.827 0.543
0.562 0.438 0.250
0.364 0.230 0.088
0.996 0.217 0.815
0.704 0.526 0.829
0.587 0.112 0.237
0.217 0.996 0.315
0.526 0.704 0.329
0.296 0.474 0.171
0.783 0.004 0.685
0.413 0.888 0.763
0.888 0.413 0.263
0.112 0.587 0.737
0.004 0.783 0.185
0.474 0.296 0.671
0.084 0.572 0.096
0.428 0.916 0.404
0.916 0.428 0.904
0.572 0.084 0.596

=====

Number 1: formation energy without anion corrections -0.674 eV per atom. Number 2: formation energy without anion corrections -0.483 eV per atom. Number 3: formation energy without anion corrections -0.985 eV per atom.